VASP calculation (PBE) on a relaxed Zn2ReTc crystal.

a = 5.1315 Å, b = 5.1315 Å, c = 2.6438 Å
α = 80.29°, β = 80.29°, γ = 117.82°
Last column: nearest neighbours and their distance in Å.
Fractional positions:
Re1 0.5000 0.0000 0.5000  2 Re 2.64, 2 Tc 2.65, 4 Zn 2.68
Tc1 0.0000 0.5000 0.5000  2 Tc 2.64, 2 Re 2.65, 4 Zn 2.68
Zn1 0.0000 0.0000 0.0000  4 Zn 2.64-2.65, 2 Re 2.68, 2 Tc 2.68
Zn2 0.5000 0.5000 0.0000  4 Zn 2.64-2.65, 2 Tc 2.68, 2 Re 2.68

Calculated values
Energy relative to the lowest polymorph listed for this composition = 197 meV/atom
Symmetry = No. 12
Energy relative to the elements = 0.2260 eV per atom
D(E_F) = 0.7422 states/eV/atom
Spin magnetization = 0.00 μB per atom